1.
Density functional theory data (PBE) for an optimized crystal structure of MgCr2SnSe6.

Output
* total DFT energy (no corrections): -5.126 eV/atom
* ρ: 5.32 Mg/m³
* DOS at the Fermi energy: 0.048 states/eV per atom

a = 6.631 Å, b = 6.631 Å, c = 7.037 Å
α = 61.89°, β = 61.89°, γ = 60.00°
Last column: magnetic moment on the atom in μB.
Fractional positions:
Mg  0.309  0.309  0.073  0.01
Cr  0.514  0.514  0.458  2.93
Cr  0.014  0.014  0.959  2.98
Sn  0.815  0.815  0.556  0.06
Se  0.629  0.239  0.241  -0.08
Se  0.239  0.890  0.241  -0.08
Se  0.890  0.629  0.241  -0.08
Se  0.392  0.728  0.748  -0.06
Se  0.728  0.132  0.748  -0.06
Se  0.132  0.392  0.748  -0.06

=====

2.
Density functional theory data (PBE) for an optimized crystal structure of MgTl3Cr2Se6.

Output
* total DFT energy (no corrections): -4.639 eV/atom
* ρ: 6.97 Mg/m³
* DOS at the Fermi energy: 0.337 states/eV per atom

a = 6.737 Å, b = 6.737 Å, c = 7.696 Å
α = 98.43°, β = 98.43°, γ = 119.87°
Last column: magnetic moment on the atom in μB.
Fractional positions:
Mg  0.000  0.000  0.000  0.01
Tl  0.161  0.839  0.500  -0.02
Tl  0.839  0.161  0.500  -0.02
Tl  0.500  0.500  0.500  -0.02
Cr  0.332  0.668  0.000  2.90
Cr  0.668  0.332  0.000  2.90
Se  0.937  0.585  0.813  -0.10
Se  0.709  0.709  0.179  -0.12
Se  0.063  0.415  0.187  -0.10
Se  0.585  0.937  0.813  -0.10
Se  0.291  0.291  0.821  -0.12
Se  0.415  0.063  0.187  -0.10

=====

3.
Density functional theory data (PBE) for an optimized crystal structure of Mg2TlCrSe.

Output
* total DFT energy (no corrections): -3.480 eV/atom
* ρ: 5.16 Mg/m³
* DOS at the Fermi energy: 0.526 states/eV per atom

a = 5.251 Å, b = 4.481 Å, c = 5.251 Å
α = 90.00°, β = 90.00°, γ = 90.00°
Last column: magnetic moment on the atom in μB.
Fractional positions:
Cr  0.000  0.000  0.000  1.22
Tl  0.500  0.500  0.500  -0.05
Mg  0.000  0.000  0.500  -0.01
Mg  0.500  0.000  0.000  -0.02
Se  0.000  0.500  0.000  -0.09

=====

4.
Density functional theory data (PBE) for an optimized crystal structure of MgCr2Si.

Output
* total DFT energy (no corrections): -6.342 eV/atom
* ρ: 4.86 Mg/m³
* DOS at the Fermi energy: 1.067 states/eV per atom

a = 2.598 Å, b = 2.598 Å, c = 8.185 Å
α = 90.00°, β = 90.00°, γ = 104.90°
Fractional positions:
Cr  0.000  0.000  0.973
Cr  0.000  0.000  0.527
Mg  0.500  0.500  0.250
Si  0.500  0.500  0.750

=====

5.
Density functional theory data (PBE) for an optimized crystal structure of Mg2CrSi.

Output
* total DFT energy (no corrections): -4.162 eV/atom
* ρ: 3.34 Mg/m³
* DOS at the Fermi energy: 0.703 states/eV per atom

a = 2.736 Å, b = 2.736 Å, c = 8.610 Å
α = 90.00°, β = 90.00°, γ = 96.25°
Fractional positions:
Cr  0.500  0.500  0.750
Mg  0.000  0.000  0.992
Mg  0.000  0.000  0.508
Si  0.500  0.500  0.250

=====

6.
Density functional theory data (PBE) for an optimized crystal structure of MgCrSi.

Output
* total DFT energy (no corrections): -5.433 eV/atom
* ρ: 3.74 Mg/m³
* DOS at the Fermi energy: 0.725 states/eV per atom

a = 5.255 Å, b = 5.255 Å, c = 5.255 Å
α = 145.47°, β = 145.47°, γ = 49.63°
Last column: magnetic moment on the atom in μB.
Fractional positions:
Cr  0.030  0.030  0.000  1.83
Mg  0.334  0.334  0.000  -0.01
Si  0.635  0.635  0.000  -0.04

=====

7.
Density functional theory data (PBE) for an optimized crystal structure of MgCrSi.

Output
* total DFT energy (no corrections): -5.655 eV/atom
* ρ: 3.70 Mg/m³
* DOS at the Fermi energy: 0.690 states/eV per atom

a = 3.781 Å, b = 3.781 Å, c = 6.561 Å
α = 90.00°, β = 90.00°, γ = 90.00°
Last column: magnetic moment on the atom in μB.
Fractional positions:
Mg  0.000  0.500  0.843  -0.01
Mg  0.500  0.000  0.157  -0.01
Si  0.000  0.500  0.265  -0.02
Si  0.500  0.000  0.735  -0.02
Cr  0.500  0.500  0.500  0.57
Cr  0.000  0.000  0.500  0.57

=====

8.
Density functional theory data (PBE) for an optimized crystal structure of MgCrSi3.

Output
* total DFT energy (no corrections): -5.163 eV/atom
* ρ: 2.88 Mg/m³
* DOS at the Fermi energy: 0.428 states/eV per atom
* relative energy among the computed polymorphs: 0.0 meV per atom

a = 4.525 Å, b = 4.525 Å, c = 4.525 Å
α = 90.00°, β = 90.00°, γ = 90.00°
Fractional positions:
Cr  0.000  0.000  0.000
Si  0.000  0.500  0.000
Si  0.000  0.000  0.500
Si  0.500  0.000  0.000
Mg  0.500  0.500  0.500

=====

9.
Density functional theory data (PBE) for an optimized crystal structure of Mg2CrSi2.

Output
* total DFT energy (no corrections): -4.390 eV/atom
* ρ: 2.69 Mg/m³
* DOS at the Fermi energy: 0.272 states/eV per atom

a = 6.306 Å, b = 6.306 Å, c = 6.306 Å
α = 141.46°, β = 141.46°, γ = 55.64°
Last column: magnetic moment on the atom in μB.
Fractional positions:
Mg  0.250  0.750  0.500  -0.01
Mg  0.750  0.250  0.500  -0.01
Cr  0.000  0.000  0.000  3.86
Si  0.601  0.601  0.000  -0.04
Si  0.399  0.399  0.000  -0.04

=====

10.
Density functional theory data (PBE) for an optimized crystal structure of MgCr2Si.

Output
* total DFT energy (no corrections): -6.281 eV/atom
* ρ: 4.97 Mg/m³
* DOS at the Fermi energy: 0.955 states/eV per atom

a = 5.065 Å, b = 4.863 Å, c = 2.562 Å
α = 81.13°, β = 77.89°, γ = 117.74°
Fractional positions:
Cr  0.000  0.000  0.000
Cr  0.500  0.000  0.500
Mg  0.000  0.500  0.500
Si  0.500  0.500  0.000

=====

11.
Density functional theory data (PBE) for an optimized crystal structure of MgCr2Si.

Output
* total DFT energy (no corrections): -6.386 eV/atom
* ρ: 4.81 Mg/m³
* DOS at the Fermi energy: 0.571 states/eV per atom

a = 4.020 Å, b = 2.695 Å, c = 5.112 Å
α = 76.93°, β = 90.00°, γ = 90.00°
Fractional positions:
Cr  0.000  0.018  0.010
Cr  0.500  0.169  0.216
Mg  0.000  0.493  0.498
Si  0.500  0.820  0.776

=====

12.
Density functional theory data (PBE) for an optimized crystal structure of Mg2CrSi2.

Output
* total DFT energy (no corrections): -4.760 eV/atom
* ρ: 3.02 Mg/m³
* DOS at the Fermi energy: 0.401 states/eV per atom

a = 6.452 Å, b = 6.452 Å, c = 4.135 Å
α = 90.00°, β = 90.00°, γ = 90.00°
Last column: magnetic moment on the atom in μB.
Fractional positions:
Cr  0.000  0.000  0.000  2.88
Cr  0.500  0.500  0.000  2.88
Si  0.369  0.869  0.000  -0.04
Si  0.869  0.631  0.000  -0.04
Si  0.631  0.131  0.000  -0.04
Si  0.131  0.369  0.000  -0.04
Mg  0.177  0.677  0.500  -0.02
Mg  0.677  0.823  0.500  -0.01
Mg  0.823  0.323  0.500  -0.02
Mg  0.323  0.177  0.500  -0.01

=====

- What is the total DFT energy (no corrections) in the eleventh record?
  -6.386 eV/atom